This record from Alexandria describes a crystal of Li2CeIn relaxed with PBEsol. The functional is SCAN. Values from VASP.

Summary:
Calculated total energy: -20.968 eV/atom
Calculated density: 5.4 g/cm3
Volume: 82.05 Å³/cell
Calculated formation energy: -285.2 meV/atom

Cell and atoms, written as Quantum ESPRESSO input:
```
&SYSTEM
  ibrav = 0, nat = 4, ntyp = 3
/
ATOMIC_SPECIES
Li 6.94 Li.upf
Ce 140.12 Ce.upf
In 114.82 In.upf
CELL_PARAMETERS angstrom
-2.3476 -0.3295 -4.2626
2.2947 -1.7851 -3.9163
-1.2391 -4.3728 -1.7701
ATOMIC_POSITIONS angstrom
Li -0.3230 -1.6218 -2.4873
Li -0.9690 -4.8655 -7.4618
Ce 0.0000 0.0000 0.0000
In -0.6460 -3.2437 -4.9745
```